{
  "formula": "Tb2PmGa2",
  "functional": "PBE-GGA",
  "state": "relaxed",
  "lattice": [[7.708, 0.000, 0.000], [0.000, 7.708, 0.000], [0.000, 0.000, 4.398]],
  "species": ["Tb", "Tb", "Tb", "Tb", "Pm", "Pm", "Ga", "Ga", "Ga", "Ga"],
  "frac_coords": [[0.174, 0.326, 0.000], [0.326, 0.826, 0.000], [0.674, 0.174, 0.000], [0.826, 0.674, 0.000], [0.000, 0.000, 0.500], [0.500, 0.500, 0.500], [0.118, 0.618, 0.500], [0.382, 0.118, 0.500], [0.618, 0.882, 0.500], [0.882, 0.382, 0.500]],
  "volume_a3_per_cell": 261.32,
  "e_above_lowest_polymorph_ev_per_atom": 0.000,
  "energy_ry_per_atom": -0.331,
  "e_form_ev_per_atom": -0.486,
  "sg": "P4/mbm (127)"
}